Density functional theory data (PBEsol) for La2TlGeI after structural relaxation.

Lattice parameters (Å, degrees): 5.8550 5.8550 5.3813 90.00 90.00 90.00
Space group P4/mmm (No. 123)
Unique sites:
La 0.0000 0.5000 0.0000
Tl 0.0000 0.0000 0.5000
Ge 0.5000 0.5000 0.5000
I 0.5000 0.5000 0.0000

Calculated values
Calculated total energy (eV per atom): -3.8461
Calculated density (g/cm3): 6.1
Calculated volume (Å³ per atom): 36.9